# Ca3Be2RhO6, optimized geometry, DFT PBE
# E_tot in eV for the cell shown: -76.2
# Total magnetic moment in Bohr magnetons per cell: 0.73
# Formation energy (no corrections) in eV/atom: -2.1366
data_Ca3Be2RhO6
_cell_length_a 5.3543
_cell_length_b 5.3543
_cell_length_c 6.2912
_cell_angle_alpha 90.00
_cell_angle_beta 90.00
_cell_angle_gamma 120.00
_space_group_name_H-M_alt 'P -3 m 1'
_space_group_IT_number 164
_space_group_name_Hall '-P 3 2"'
loop_
_atom_site_label
_atom_site_fract_x
_atom_site_fract_y
_atom_site_fract_z
Ca1 0.0000 0.0000 0.0000
Ca2 0.3333 0.6667 0.6823
Be1 0.3333 0.6667 0.2500
Rh1 0.0000 0.0000 0.5000
O1 0.1704 0.3409 0.2723